# 1
## GaFeSiHN (PBE)

Data for a relaxed GaFeSiHN crystal.

Values from the calculation:
Excess energy over the best structure of this formula in the dataset (eV/atom): 0.024
Calculated total energy (eV per atom): -5.949
Calculated volume (Å³ per atom): 9.4

abc: 2.8424 2.8424 20.0980
angles: 90.00 90.00 120.00
Space group R3m (No. 160, hexagonal axes)
Inequivalent atoms, fractional coordinates:
Ga  0.0000  0.0000  0.0000 x3
Fe  0.0000  0.0000  0.4278 x3
Si  0.0000  0.0000  0.1905 x3
H  0.0000  0.0000  0.7780 x3
N  0.0000  0.0000  0.9004 x3

=====

# 2
## SrPrPt10 (PBE)

Data for a relaxed SrPrPt10 crystal.

Values from the calculation:
Calculated total energy (eV per atom): -6.212
ΔH_f (0 K) (meV/atom): -640
Calculated volume (Å³ per atom): 19.0

abc: 4.412 5.485 9.442
angles: 90.00 90.00 90.00
Space group Pmmm (No. 47)
Inequivalent atoms, fractional coordinates:
Sr  0.000  0.000  0.000 x1
Pr  0.000  0.500  0.500 x1
Pt  0.000  0.000  0.335 x2
Pt  0.000  0.500  0.169 x2
Pt  0.500  0.000  0.500 x1
Pt  0.500  0.252  0.253 x4
Pt  0.500  0.500  0.000 x1

=====

# 3
## Rb2RhC2 (PBE)

Data for a relaxed Rb2RhC2 crystal.

Values from the calculation:
Calculated total energy (eV per atom): -4.109
ΔH_f (0 K) (meV/atom): 1438
Calculated volume (Å³ per atom): 19.1

abc: 5.899 5.899 5.495
angles: 90.00 90.00 90.00
Space group P4/mbm (No. 127)
Inequivalent atoms, fractional coordinates:
Rb  0.176  0.324  0.000 x4
Rh  0.000  0.000  0.500 x2
C  0.219  0.719  0.500 x4

=====

# 4
## NbTlBr5 (PBE)

Data for a relaxed NbTlBr5 crystal.

Values from the calculation:
Calculated total energy (eV per atom): -3.781
Calculated volume (Å³ per atom): 40.6
E_form (uncorrected) (eV per atom): -0.8090

abc: 15.298 7.892 10.090
angles: 90.00 111.15 90.00
Space group C2/c (No. 15)
Inequivalent atoms, fractional coordinates:
Nb  0.000  0.000  0.000 x4
Tl  0.000  0.445  0.250 x4
Br  0.000  0.111  0.750 x4
Br  0.127  0.222  0.520 x8
Br  0.129  0.219  0.120 x8

=====

# 5
## Tm5P12Ir19 (PBE)

Data for a relaxed Tm5P12Ir19 crystal.

Values from the calculation:
Calculated total energy (eV per atom): -7.886
ΔH_f (0 K) (meV/atom): -785
Calculated volume (Å³ per atom): 15.4

abc: 12.6895 12.6895 3.9649
angles: 90.00 90.00 120.00
Space group P-62m (No. 189)
Inequivalent atoms, fractional coordinates:
Tm  0.0000  0.8176  0.0000 x3
Tm  0.3333  0.6667  0.5000 x2
P  0.0000  0.1778  0.5000 x3
P  0.0000  0.6452  0.5000 x3
P  0.1708  0.4838  0.0000 x6
Ir  0.0000  0.0000  0.5000 x1
Ir  0.0000  0.2860  0.0000 x3
Ir  0.0000  0.4650  0.5000 x3
Ir  0.1346  0.6409  0.0000 x6
Ir  0.1803  0.3735  0.5000 x6

=====

# 6
## DyNpSi2O8 (PBE)

Data for a relaxed DyNpSi2O8 crystal.

Values from the calculation:
Calculated total energy (eV per atom): -8.653
Calculated volume (Å³ per atom): 12.4
E_form (uncorrected) (eV per atom): -2.9814

abc: 6.928 6.928 6.194
angles: 90.00 90.00 90.00
Space group I-4m2 (No. 119)
Inequivalent atoms, fractional coordinates:
Dy  0.000  0.000  0.000 x2
Np  0.000  0.500  0.750 x2
Si  0.000  0.000  0.500 x2
Si  0.000  0.500  0.250 x2
O  0.000  0.185  0.669 x8
O  0.000  0.322  0.075 x8